Model a:
The following is a DFT calculation (GGA-PBE) of a relaxed BeH2O2 crystal.

Geometry as CIF:
```
data_BeH2O2
_symmetry_space_group_name_H-M 'P 21 21 21'
_symmetry_Int_Tables_number 19
_cell_length_a 4.5135
_cell_length_b 4.6555
_cell_length_c 7.0151
_cell_angle_alpha 90.00
_cell_angle_beta 90.00
_cell_angle_gamma 90.00
loop_
_symmetry_equiv_pos_as_xyz
'x,y,z'
'-x+1/2,-y,z+1/2'
'x+1/2,-y+1/2,-z'
'-x,y+1/2,-z+1/2'
loop_
_atom_site_label
_atom_site_type_symbol
_atom_site_fract_x
_atom_site_fract_y
_atom_site_fract_z
_atom_site_occupancy
Be1 Be 0.0432 0.1915 0.1266 1
H1 H 0.1449 0.0911 0.7853 1
H2 H 0.2246 0.4105 0.5798 1
O1 O 0.1568 0.8932 0.2251 1
O2 O 0.1716 0.6140 0.5567 1
```



Model b:
The following is a DFT calculation (GGA-PBE) of a relaxed BeH2O2 crystal.

Geometry as CIF:
```
data_BeH2O2
_symmetry_space_group_name_H-M 'P 21 21 21'
_symmetry_Int_Tables_number 19
_cell_length_a 4.8442
_cell_length_b 4.8457
_cell_length_c 5.9384
_cell_angle_alpha 90.00
_cell_angle_beta 90.00
_cell_angle_gamma 90.00
loop_
_symmetry_equiv_pos_as_xyz
'x,y,z'
'-x+1/2,-y,z+1/2'
'x+1/2,-y+1/2,-z'
'-x,y+1/2,-z+1/2'
loop_
_atom_site_label
_atom_site_type_symbol
_atom_site_fract_x
_atom_site_fract_y
_atom_site_fract_z
_atom_site_occupancy
Be1 Be 0.0790 0.1718 0.3749 1
H1 H 0.0036 0.4166 0.6927 1
H2 H 0.1664 0.7471 0.4424 1
O1 O 0.0232 0.8373 0.3518 1
O2 O 0.0864 0.7734 0.8980 1
```



Question: of the structures shown, which is the most stable? Reply: model a.